Material: Cd2CuIr
Method: DFT, GGA-PBE
State: relaxed

Calculated values
**Calculated formation energy**: 0.138 eV/atom
**V**: 16.843 A^3/atom
**DOS at the Fermi energy**: 1.99 states/eV per cell

abc: 4.5670 4.5670 3.2302
angles: 90.00 90.00 90.00
Sites, in units of the cell vectors:
1 Cd 0.0000 0.5000 0.0000
2 Cd 0.5000 0.0000 0.0000
3 Cu 0.0000 0.0000 0.5000
4 Ir 0.5000 0.5000 0.5000